8
Lattice="-5.260 2.045 3.286 -3.674 -4.385 -3.148 5.154 -1.297 2.564" Properties=species:S:1:pos:R:3 comment="K2MoF5 PBE with a Hubbard U optimized geometry" energy_ev_per_atom=-4.886 vol_a3_per_atom=19.58 polymorph_energy_mev_per_atom=211 pbc="T T T"
F -1.979 -0.600 0.114
F -4.009 -3.021 -1.626
F -6.913 -1.891 0.187
F -4.157 -2.291 1.266
F -4.884 0.529 1.926
K -1.498 -3.405 -0.279
K -2.291 -0.190 2.938
Mo -3.785 -3.620 2.686